Tb6Dy2Zr | PBE | optimized geometry

Geometry as CIF:
```
data_Tb6Dy2Zr
_symmetry_space_group_name_H-M 'P 1'
_symmetry_Int_Tables_number 1
_cell_length_a 3.536
_cell_length_b 3.536
_cell_length_c 25.943
_cell_angle_alpha 90.00
_cell_angle_beta 90.00
_cell_angle_gamma 120.00
loop_
_symmetry_equiv_pos_as_xyz
'x,y,z'
loop_
_atom_site_label
_atom_site_type_symbol
_atom_site_fract_x
_atom_site_fract_y
_atom_site_fract_z
_atom_site_occupancy
Tb1 Tb 0.000 0.000 0.067 1
Tb2 Tb 0.000 0.000 0.286 1
Tb3 Tb 0.000 0.000 0.714 1
Tb4 Tb 0.000 0.000 0.933 1
Tb5 Tb 0.333 0.667 0.399 1
Tb6 Tb 0.333 0.667 0.601 1
Dy1 Dy 0.333 0.667 0.175 1
Dy2 Dy 0.333 0.667 0.825 1
Zr1 Zr 0.000 0.000 0.500 1
```

Results
* E_form: 68.8 kJ/mol of formula units
* symmetry: P-6m2
* theoretical density: 8.1 g/cm3


Tb8Dy6Zr | PBE | optimized geometry

Geometry as CIF:
```
data_Tb8Dy6Zr
_symmetry_space_group_name_H-M 'P 1'
_symmetry_Int_Tables_number 1
_cell_length_a 9.773
_cell_length_b 9.773
_cell_length_c 5.782
_cell_angle_alpha 90.00
_cell_angle_beta 90.00
_cell_angle_gamma 120.00
loop_
_symmetry_equiv_pos_as_xyz
'x,y,z'
loop_
_atom_site_label
_atom_site_type_symbol
_atom_site_fract_x
_atom_site_fract_y
_atom_site_fract_z
_atom_site_occupancy
Tb1 Tb 0.052 0.270 0.264 1
Tb2 Tb 0.219 0.948 0.264 1
Tb3 Tb 0.270 0.219 0.736 1
Tb4 Tb 0.333 0.667 0.264 1
Tb5 Tb 0.667 0.333 0.736 1
Tb6 Tb 0.730 0.781 0.264 1
Tb7 Tb 0.781 0.052 0.736 1
Tb8 Tb 0.948 0.730 0.736 1
Dy1 Dy 0.093 0.472 0.752 1
Dy2 Dy 0.380 0.907 0.752 1
Dy3 Dy 0.472 0.380 0.248 1
Dy4 Dy 0.528 0.620 0.752 1
Dy5 Dy 0.620 0.093 0.248 1
Dy6 Dy 0.907 0.528 0.248 1
Zr1 Zr 0.000 0.000 0.000 1
```

Results
* E_form: 221.6 kJ/mol of formula units
* symmetry: P-3
* theoretical density: 8.1 g/cm3


Tb2Dy8Zr | PBE | optimized geometry

Geometry as CIF:
```
data_Tb2Dy8Zr
_symmetry_space_group_name_H-M 'P 1'
_symmetry_Int_Tables_number 1
_cell_length_a 8.868
_cell_length_b 8.868
_cell_length_c 6.572
_cell_angle_alpha 101.66
_cell_angle_beta 101.66
_cell_angle_gamma 43.08
loop_
_symmetry_equiv_pos_as_xyz
'x,y,z'
loop_
_atom_site_label
_atom_site_type_symbol
_atom_site_fract_x
_atom_site_fract_y
_atom_site_fract_z
_atom_site_occupancy
Tb1 Tb 0.184 0.184 0.319 1
Tb2 Tb 0.816 0.816 0.681 1
Dy1 Dy 0.176 0.664 0.113 1
Dy2 Dy 0.245 0.245 0.835 1
Dy3 Dy 0.336 0.824 0.887 1
Dy4 Dy 0.406 0.406 0.584 1
Dy5 Dy 0.594 0.594 0.416 1
Dy6 Dy 0.664 0.176 0.113 1
Dy7 Dy 0.755 0.755 0.165 1
Dy8 Dy 0.824 0.336 0.887 1
Zr1 Zr 0.000 0.000 0.500 1
```

Results
* E_form: 220.3 kJ/mol of formula units
* symmetry: C2/m
* excess energy over the best structure of this formula in the dataset: 166 meV per atom
* theoretical density: 8.2 g/cm3


TbDy2Zr | PBE | optimized geometry

Geometry as CIF:
```
data_TbDy2Zr
_symmetry_space_group_name_H-M 'P 1'
_symmetry_Int_Tables_number 1
_cell_length_a 7.780
_cell_length_b 7.780
_cell_length_c 7.780
_cell_angle_alpha 90.00
_cell_angle_beta 90.00
_cell_angle_gamma 90.00
loop_
_symmetry_equiv_pos_as_xyz
'x,y,z'
loop_
_atom_site_label
_atom_site_type_symbol
_atom_site_fract_x
_atom_site_fract_y
_atom_site_fract_z
_atom_site_occupancy
Tb1 Tb 0.000 0.000 0.000 1
Tb2 Tb 0.000 0.500 0.500 1
Tb3 Tb 0.500 0.000 0.500 1
Tb4 Tb 0.500 0.500 0.000 1
Dy1 Dy 0.250 0.250 0.250 1
Dy2 Dy 0.250 0.250 0.750 1
Dy3 Dy 0.250 0.750 0.250 1
Dy4 Dy 0.250 0.750 0.750 1
Dy5 Dy 0.750 0.250 0.250 1
Dy6 Dy 0.750 0.250 0.750 1
Dy7 Dy 0.750 0.750 0.250 1
Dy8 Dy 0.750 0.750 0.750 1
Zr1 Zr 0.000 0.000 0.500 1
Zr2 Zr 0.000 0.500 0.000 1
Zr3 Zr 0.500 0.000 0.000 1
Zr4 Zr 0.500 0.500 0.500 1
```

Results
* E_form: 84.2 kJ/mol of formula units
* symmetry: Fm-3m
* excess energy over the best structure of this formula in the dataset: 142 meV per atom
* theoretical density: 8.1 g/cm3